! KNdCuO2 (PBE-GGA, optimized geometry); values from VASP
! ΔE_f (raw) = -1.58 eV per atom
! E = -5.551 eV/atom
&SYSTEM
  ibrav = 0, nat = 10, ntyp = 4
/
ATOMIC_SPECIES
K 39.10 K.upf
Nd 144.24 Nd.upf
Cu 63.55 Cu.upf
O 16.00 O.upf
ATOMIC_POSITIONS angstrom
K 5.583 -1.794 1.537
K 3.143 -3.768 -4.008
Nd 0.938 -2.942 -0.786
Nd 3.096 -4.897 1.200
Cu 0.000 0.000 0.000
Cu 2.158 -1.955 1.987
O 7.964 -4.830 -0.922
O 2.802 -4.337 -1.057
O 5.924 -1.225 -1.414
O 0.762 -0.733 -1.549
CELL_PARAMETERS angstrom
-0.282 -3.930 -3.560
4.692 2.277 -2.884
4.316 -3.909 3.973



! CaPbSe2 (PBE-GGA, optimized geometry); values from VASP
! ΔE_f (raw) = -1.02 eV per atom
! E = -4.192 eV/atom
&SYSTEM
  ibrav = 0, nat = 4, ntyp = 3
/
ATOMIC_SPECIES
Pb 207.20 Pb.upf
Ca 40.08 Ca.upf
Se 78.96 Se.upf
ATOMIC_POSITIONS angstrom
Pb 1.350 -2.890 0.436
Ca -2.287 -2.205 0.498
Se 0.000 0.000 0.000
Se -0.589 -2.970 -2.128
CELL_PARAMETERS angstrom
-4.225 -2.284 -2.066
3.047 -3.655 -2.191
-0.348 -2.126 3.063



What is the ΔE_f (raw) in the second record? -1.02 eV per atom